[1]
First-principles (meta-GGA SCAN) data for a crystal of HfCuAg2 relaxed with PBEsol, as listed in the Alexandria database.

abc: 6.3915 6.3915 6.3915
angles: 90.00 90.00 90.00
Space group Fm-3m (No. 225)
Unique sites:
Hf  0.0000  0.0000  0.0000
Cu  0.0000  0.0000  0.5000
Ag  0.2500  0.2500  0.2500

Summary:
Electronic total energy in eV per atom: -35.06
Energy relative to the elements in kJ/mol of atoms: 8.9

[2]
First-principles (meta-GGA SCAN) data for a crystal of CdCIN2 relaxed with PBEsol, as listed in the Alexandria database.

abc: 3.9650 3.9650 4.4667
angles: 90.00 90.00 90.00
Space group P4/mmm (No. 123)
Unique sites:
Cd  0.0000  0.0000  0.0000
C  0.5000  0.5000  0.5000
I  0.5000  0.5000  0.0000
N  0.0000  0.5000  0.5000

Summary:
Raw formation energy in kJ/mol of atoms: 239.3
Electronic total energy in eV per atom: -16.69

[3]
First-principles (meta-GGA SCAN) data for a crystal of BaZnTe2I relaxed with PBEsol, as listed in the Alexandria database.

abc: 5.2797 5.2797 5.9046
angles: 90.00 90.00 90.00
Space group P4/mmm (No. 123)
Unique sites:
Ba  0.0000  0.0000  0.0000
Zn  0.5000  0.5000  0.5000
Te  0.0000  0.5000  0.5000
I  0.5000  0.5000  0.0000

Summary:
Raw formation energy in kJ/mol of atoms: -82.4
Electronic total energy in eV per atom: -33.72

[4]
First-principles (meta-GGA SCAN) data for a crystal of Ca2LaGeS4Cl3 relaxed with PBEsol, as listed in the Alexandria database.

abc: 9.2807 17.1812 6.2722
angles: 90.00 90.00 90.00
Space group Cmc2_1 (No. 36)
Unique sites:
Ca  0.2151  0.0819  0.0000
La  0.0000  0.3076  0.0072
Ge  0.0000  0.1578  0.5758
S  0.0000  0.0373  0.7030
S  0.0000  0.1626  0.2214
S  0.1887  0.2170  0.7241
Cl  0.0000  0.3745  0.4222
Cl  0.1798  0.4366  0.9018

Summary:
Raw formation energy in kJ/mol of atoms: -194.4
Electronic total energy in eV per atom: -15.10

For each record above, in turn, the calculated Fermi-level density of states values are 10.25, 1.75, 1.86, 0.00 states/eV per cell.
For each record above, in turn, the calculated total moment values are 0.0, 2.8, 0.0, 0.0 μB/cell.